Density functional theory data (PBE) for a relaxed structure of AcNd9Sn2.

Computed properties:
spin magnetization: 0.0 μB per formula unit
VASP energy: -0.1784 hartree per atom

The structure in POSCAR format:
```
AcNd9Sn2
1.0
-2.108 4.542 -0.274
-3.851 -1.942 -2.558
-7.517 -2.683 13.352
Nd Sn Ac
9 2 1
direct
0.000 0.500 0.818 Nd
0.500 0.000 0.818 Nd
0.500 0.500 0.343 Nd
0.500 0.500 0.657 Nd
0.500 0.000 0.182 Nd
0.500 0.500 0.000 Nd
0.000 0.500 0.182 Nd
0.500 0.000 0.500 Nd
0.000 0.500 0.500 Nd
0.000 0.000 0.660 Sn
0.000 0.000 0.340 Sn
0.000 0.000 0.000 Ac
```

=====

Density functional theory data (PBE) for a relaxed structure of Ac4NdSn4.

Computed properties:
spin magnetization: 0.0 μB per formula unit
VASP energy: -0.1700 hartree per atom

The structure in POSCAR format:
```
Ac4NdSn4
1.0
-2.331 6.417 -0.465
-2.858 -0.344 9.579
8.959 3.457 2.798
Ac Nd Sn
8 2 8
direct
0.364 0.712 0.077 Ac
0.136 0.788 0.423 Ac
0.136 0.212 0.577 Ac
0.636 0.077 0.288 Ac
0.636 0.923 0.712 Ac
0.364 0.288 0.923 Ac
0.864 0.423 0.212 Ac
0.864 0.577 0.788 Ac
0.500 0.500 0.500 Nd
0.000 0.000 0.000 Nd
0.646 0.765 0.389 Sn
0.354 0.611 0.765 Sn
0.146 0.889 0.735 Sn
0.854 0.265 0.889 Sn
0.354 0.389 0.235 Sn
0.854 0.735 0.111 Sn
0.646 0.235 0.611 Sn
0.146 0.111 0.265 Sn
```

=====

Density functional theory data (PBE) for a relaxed structure of AcNdSn6.

Computed properties:
spin magnetization: 0.0 μB per formula unit
VASP energy: -0.1695 hartree per atom

The structure in POSCAR format:
```
AcNdSn6
1.0
-2.625 4.054 0.615
-0.848 -1.251 4.628
7.922 4.716 2.726
Sn Nd Ac
6 1 1
direct
0.500 0.000 0.257 Sn
0.000 0.500 0.743 Sn
0.500 0.500 0.500 Sn
0.000 0.500 0.257 Sn
0.500 0.000 0.743 Sn
0.500 0.500 0.000 Sn
0.000 0.000 0.500 Nd
0.000 0.000 0.000 Ac
```